# 1
Density functional theory data (GGA-PBE) for a relaxed Ag3MoH crystal.

The raw total energy comes out at -13.0 eV for the cell shown. The density of states at the Fermi level is 5.73 states/eV/f.u.

The space group is Pm-3m (No. 221) and the conventional cell measures 5.362, 5.362 and 5.362 Å, with angles of 90.00, 90.00 and 90.00 degrees. Symmetry generates all atoms from Ag at (0.000, 0.000, 0.500), Mo at (0.000, 0.000, 0.000) and H at (0.500, 0.500, 0.500).

# 2
Density functional theory data (GGA-PBE) for a relaxed SbPd3Br crystal.

The raw formation energy is 0.407 eV/atom. The raw total energy comes out at -19.3 eV for the cell shown. The density of states at the Fermi level is 3.82 states/eV/f.u.

The space group is Pm-3m (No. 221) and the conventional cell measures 5.019, 5.019 and 5.019 Å, with angles of 90.00, 90.00 and 90.00 degrees. Symmetry generates all atoms from Sb at (0.000, 0.000, 0.000), Pd at (0.000, 0.000, 0.500) and Br at (0.500, 0.500, 0.500).

# 3
Density functional theory data (GGA-PBE) for a relaxed RbSr2Pd2 crystal.

The calculation puts the calculated formation energy at -0.223 eV/atom. The raw total energy comes out at -31.7 eV for the cell shown. The density of states at the Fermi level is 4.27 states/eV/f.u.

The space group is I4/mmm (No. 139) and the conventional cell measures 5.480, 5.480 and 11.551 Å, with angles of 90.00, 90.00 and 90.00 degrees. Symmetry generates all atoms from Rb at (0.000, 0.000, 0.000), Sr at (0.000, 0.500, 0.250) and Pd at (0.000, 0.000, 0.382).

# 4
Density functional theory data (GGA-PBE) for a relaxed YHoMnAu crystal.

The calculation puts the calculated formation energy at -0.259 eV/atom. The raw total energy comes out at -98.1 eV for the cell shown. The density of states at the Fermi level is 5.48 states/eV/f.u.

The space group is F-43m (No. 216) and the conventional cell measures 7.155, 7.155 and 7.155 Å, with angles of 90.00, 90.00 and 90.00 degrees. Symmetry generates all atoms from Y at (0.000, 0.000, 0.000), Ho at (0.000, 0.000, 0.500), Mn at (0.250, 0.250, 0.250) and Au at (0.250, 0.250, 0.750).

# 5
Density functional theory data (GGA-PBE) for a relaxed ScTa2Cd crystal.

The calculation puts the calculated formation energy at 0.229 eV/atom. The raw total energy comes out at -60.1 eV for the cell shown. The density of states at the Fermi level is 4.60 states/eV/f.u.

The space group is C2/m (No. 12) and the conventional cell measures 5.740, 10.076 and 2.881 Å, with angles of 90.00, 109.63 and 90.00 degrees. Symmetry generates all atoms from Sc at (0.000, 0.000, 0.000), Ta at (0.250, 0.250, 0.500) and Cd at (0.000, 0.500, 0.000).

# 6
Density functional theory data (GGA-PBE) for a relaxed LiCa2Cd6In crystal.

The calculation puts the calculated formation energy at -0.032 eV/atom. The raw total energy comes out at -28.9 eV for the cell shown. The density of states at the Fermi level is 3.23 states/eV/f.u.

The space group is C2/m (No. 12) and the conventional cell measures 10.132, 10.431 and 6.957 Å, with angles of 90.00, 131.68 and 90.00 degrees. Symmetry generates all atoms from Li at (0.000, 0.000, 0.000), Ca at (0.000, 0.298, 0.500), Cd at (0.000, 0.233, 0.000), Cd at (0.160, 0.000, 0.839), Cd at (0.229, 0.000, 0.467) and In at (0.000, 0.500, 0.000).